Record 1
! HfTe2Pd9 (PBE, relaxed); values from VASP
&SYSTEM
  ibrav = 0, nat = 12, ntyp = 3
/
ATOMIC_SPECIES
Pd 106.42 Pd.upf
Hf 178.49 Hf.upf
Te 127.60 Te.upf
ATOMIC_POSITIONS crystal
Pd 0.000 0.500 0.500
Pd 0.500 0.000 0.500
Pd 0.500 0.500 0.322
Pd 0.500 0.500 0.000
Pd 0.500 0.000 0.844
Hf 0.000 0.000 0.000
Pd 0.500 0.500 0.678
Pd 0.000 0.500 0.844
Te 0.000 0.000 0.660
Pd 0.500 0.000 0.156
Pd 0.000 0.500 0.156
Te 0.000 0.000 0.340
CELL_PARAMETERS angstrom
-2.321 -0.514 -3.257
3.296 -0.273 -2.306
0.228 -12.355 1.786
! Space-group type: P4/mmm
! ΔE_f (raw) (eV per formula unit): -4.98

---

Record 2
! Sc3GaN (PBE, relaxed); values from VASP
&SYSTEM
  ibrav = 0, nat = 10, ntyp = 3
/
ATOMIC_SPECIES
N 14.01 N.upf
Ga 69.72 Ga.upf
Sc 44.96 Sc.upf
ATOMIC_POSITIONS crystal
N 0.534 0.601 0.440
Ga 0.168 0.403 0.678
Sc 0.122 0.045 0.917
Sc 0.599 0.687 0.678
N 0.187 0.131 0.155
Sc 0.909 0.752 0.116
Sc 0.467 0.515 0.201
Sc 0.812 0.981 0.478
Ga 0.553 0.330 0.917
Sc 0.254 0.218 0.394
CELL_PARAMETERS angstrom
5.936 0.015 -0.014
0.924 3.196 -0.001
-3.796 -0.632 9.179
! Space-group type: C2/m
! ΔE_f (raw) (eV per formula unit): -5.06

---

Record 3
! Ce2Si4Rh3Au (PBE, relaxed); values from VASP
&SYSTEM
  ibrav = 0, nat = 10, ntyp = 4
/
ATOMIC_SPECIES
Ce 140.12 Ce.upf
Si 28.09 Si.upf
Au 196.97 Au.upf
Rh 102.91 Rh.upf
ATOMIC_POSITIONS crystal
Ce 0.500 0.000 0.240
Si 0.500 0.000 0.641
Au 0.500 0.500 0.500
Si 0.000 0.500 0.359
Ce 0.000 0.500 0.760
Si 0.000 0.000 0.000
Rh 0.500 0.000 0.878
Si 0.500 0.500 0.000
Rh 0.000 0.500 0.122
Rh 0.000 0.000 0.500
CELL_PARAMETERS angstrom
4.189 0.000 0.000
0.000 4.189 0.000
0.000 0.000 9.987
! Space-group type: P-4m2
! ΔE_f (raw) (eV per formula unit): -9.03

---

Record 4
! SmEr2Tm3Se6 (PBE, relaxed); values from VASP
&SYSTEM
  ibrav = 0, nat = 12, ntyp = 4
/
ATOMIC_SPECIES
Se 78.96 Se.upf
Tm 168.93 Tm.upf
Er 167.26 Er.upf
Sm 150.36 Sm.upf
ATOMIC_POSITIONS crystal
Se 0.000 0.740 0.000
Se 0.667 0.584 0.335
Tm 0.500 0.500 0.000
Tm 0.163 0.834 0.326
Se 0.333 0.416 0.665
Se 0.672 0.084 0.343
Se 0.000 0.260 0.000
Se 0.328 0.916 0.657
Er 0.836 0.671 0.671
Sm 0.500 0.000 0.000
Er 0.164 0.329 0.329
Tm 0.837 0.166 0.674
CELL_PARAMETERS angstrom
4.030 0.000 0.000
0.000 8.145 0.265
-2.015 -2.375 8.508
! Space-group type: C2/m
! ΔE_f (raw) (eV per formula unit): -20.36

---

Record 5
! Hf2MnTcH (PBE, relaxed); values from VASP
&SYSTEM
  ibrav = 0, nat = 5, ntyp = 4
/
ATOMIC_SPECIES
Hf 178.49 Hf.upf
Tc 98.00 Tc.upf
H 1.01 H.upf
Mn 54.94 Mn.upf
ATOMIC_POSITIONS crystal
Hf 0.000 0.500 0.000
Hf 0.500 0.000 0.000
Tc 0.500 0.500 0.500
H 0.000 0.000 0.000
Mn 0.000 0.000 0.500
CELL_PARAMETERS angstrom
4.557 0.000 0.000
0.000 4.557 0.000
0.000 0.000 3.338
! Space-group type: P4/mmm
! Electronic total energy (eV per atom): -8.895

---

Record 6
! PrEr3Pb (PBE, relaxed); values from VASP
&SYSTEM
  ibrav = 0, nat = 20, ntyp = 3
/
ATOMIC_SPECIES
Pb 207.20 Pb.upf
Pr 140.91 Pr.upf
Er 167.26 Er.upf
ATOMIC_POSITIONS crystal
Pb 0.211 0.849 0.882
Pr 0.580 0.718 0.830
Er 0.617 0.910 0.241
Er 0.117 0.090 0.259
Er 0.421 0.298 0.524
Pr 0.080 0.282 0.670
Pb 0.711 0.151 0.618
Er 0.823 0.401 0.489
Er 0.921 0.702 0.976
Er 0.883 0.910 0.741
Er 0.383 0.090 0.759
Pb 0.289 0.849 0.382
Pr 0.920 0.718 0.330
Pr 0.420 0.282 0.170
Pb 0.789 0.151 0.118
Er 0.079 0.298 0.024
Er 0.177 0.599 0.511
Er 0.579 0.702 0.476
Er 0.323 0.599 0.011
Er 0.677 0.401 0.989
CELL_PARAMETERS angstrom
-2.042 -0.311 -9.006
4.838 -6.249 -0.882
-10.049 -0.553 2.298
! Space-group type: P2_1/c
! Formation energy from the elements (eV/atom): -0.1591

---

Record 7
! Ca2HgHPb (PBE, relaxed); values from VASP
&SYSTEM
  ibrav = 0, nat = 5, ntyp = 4
/
ATOMIC_SPECIES
Hg 200.59 Hg.upf
Ca 40.08 Ca.upf
H 1.01 H.upf
Pb 207.20 Pb.upf
ATOMIC_POSITIONS crystal
Hg 0.000 0.000 0.500
Ca 0.500 0.000 0.000
H 0.000 0.000 0.000
Ca 0.000 0.500 0.000
Pb 0.500 0.500 0.500
CELL_PARAMETERS angstrom
4.897 0.000 0.000
0.000 4.897 0.000
0.000 0.000 4.759
! Space-group type: P4/mmm
! Electronic total energy (eV per atom): -2.674

---

Record 8
! Ti4Ni2N (PBE, relaxed); values from VASP
&SYSTEM
  ibrav = 0, nat = 14, ntyp = 3
/
ATOMIC_SPECIES
Ni 58.69 Ni.upf
Ti 47.87 Ti.upf
N 14.01 N.upf
ATOMIC_POSITIONS crystal
Ni 0.500 0.432 0.677
Ti 0.000 0.122 0.683
Ti 0.500 0.774 0.545
Ti 0.000 0.878 0.317
Ti 0.000 0.622 0.817
Ti 0.500 0.226 0.455
Ti 0.500 0.726 0.045
Ti 0.500 0.274 0.955
Ni 0.500 0.068 0.177
Ni 0.500 0.932 0.823
Ni 0.500 0.568 0.323
N 0.000 0.500 0.000
Ti 0.000 0.378 0.183
N 0.000 0.000 0.500
CELL_PARAMETERS angstrom
-0.818 -3.005 0.319
-0.491 -0.487 -5.850
10.198 -2.842 -0.620
! Space-group type: Pbam
! Excess energy over the best structure of this formula in the dataset (eV/f.u.): 1.622
! ΔE_f (raw) (eV per formula unit): -4.17